(1)
## HoIrSe (PBE)

Data for a relaxed structure of HoIrSe.

Results
The value obtained for the total energy is -6.083 eV/atom. The symmetry is Amm2.

Cell: 3.7052 3.8305 10.5055 Å, 90.00 90.00 118.92°
Atoms (fractional coordinates):
Ir1 0.5854 0.1707 0.0000
Ir2 0.2874 0.5748 0.5000
Ho1 0.6146 0.2293 0.3326
Ho2 0.6146 0.2293 0.6674
Se1 0.2823 0.5645 0.8588
Se2 0.2823 0.5645 0.1412


(2)
## HoIrSe2 (PBE)

Data for a relaxed structure of HoIrSe2.

Results
The value obtained for the total energy is -5.466 eV/atom. The symmetry is R-3m.

Cell: 3.7903 3.7903 8.4550 Å, 77.05 77.05 60.00°
Atoms (fractional coordinates):
Ir1 0.5000 0.5000 0.5000
Ho1 0.0000 0.0000 0.0000
Se1 0.1159 0.1159 0.6522
Se2 0.8841 0.8841 0.3478


(3)
## Ho7IrSe5 (PBE)

Data for a relaxed structure of Ho7IrSe5.

Results
The value obtained for the total energy is -5.984 eV/atom. The symmetry is Cmc2_1.

Cell: 3.9379 6.9729 24.3413 Å, 90.00 90.00 106.40°
Atoms (fractional coordinates):
Ho1 0.4540 0.9081 0.2483
Ho2 0.5466 0.0932 0.7483
Ho3 0.6476 0.2952 0.0392
Ho4 0.3689 0.7378 0.9655
Ho5 0.3529 0.7058 0.5392
Ho6 0.6317 0.2633 0.4654
Ho7 0.2127 0.4255 0.1824
Ho8 0.8062 0.6124 0.8172
Ho9 0.7878 0.5755 0.6824
Ho10 0.1945 0.3891 0.3172
Ho11 0.9217 0.8433 0.1122
Ho12 0.1071 0.2143 0.8714
Ho13 0.0788 0.1575 0.6121
Ho14 0.8936 0.7871 0.3714
Ir1 0.8077 0.6155 0.2600
Ir2 0.1929 0.3858 0.7600
Se1 0.0108 0.0215 0.9989
Se2 0.7291 0.4582 0.9289
Se3 0.2867 0.5734 0.0726
Se4 0.5478 0.0956 0.3589
Se5 0.4365 0.8730 0.6447
Se6 0.9897 0.9794 0.4988
Se7 0.2715 0.5429 0.4289
Se8 0.7138 0.4275 0.5726
Se9 0.4529 0.9058 0.8589
Se10 0.5640 0.1280 0.1447


(4)
## Ho2IrSe (PBE)

Data for a relaxed structure of Ho2IrSe.

Results
The value obtained for the total energy is -6.608 eV/atom. The symmetry is R-3m. The value obtained for the relative energy among the computed polymorphs is 75.9 meV/atom.

Cell: 3.9687 3.9687 7.3851 Å, 74.41 74.41 60.00°
Atoms (fractional coordinates):
Ir1 0.5000 0.5000 0.5000
Ho1 0.2422 0.2422 0.2735
Ho2 0.7578 0.7578 0.7265
Se1 0.0000 0.0000 0.0000


(5)
## Ho2IrSe (PBE)

Data for a relaxed structure of Ho2IrSe.

Results
The value obtained for the total energy is -6.683 eV/atom. The symmetry is Cmcm. The value obtained for the relative energy among the computed polymorphs is 0.0 meV/atom.

Cell: 4.1243 3.9430 11.4070 Å, 99.95 90.00 90.00°
Atoms (fractional coordinates):
Ho1 0.7500 0.6699 0.3398
Ho2 0.2500 0.3301 0.6602
Ho3 0.7500 0.9365 0.8731
Ho4 0.2500 0.0635 0.1269
Ir1 0.2500 0.4571 0.9141
Ir2 0.7500 0.5429 0.0859
Se1 0.2500 0.1943 0.3886
Se2 0.7500 0.8057 0.6114


(6)
## Ho4IrSe2 (PBE)

Data for a relaxed structure of Ho4IrSe2.

Results
The value obtained for the total energy is -6.135 eV/atom. The symmetry is Cmcm.

Cell: 3.8350 6.8258 14.0537 Å, 90.00 90.00 106.32°
Atoms (fractional coordinates):
Ho1 0.2045 0.4091 0.6299
Ho2 0.7955 0.5909 0.3701
Ho3 0.7955 0.5909 0.1299
Ho4 0.2045 0.4091 0.8701
Ho5 0.9521 0.9042 0.7500
Ho6 0.0479 0.0958 0.2500
Ho7 0.5000 0.0000 0.0000
Ho8 0.5000 0.0000 0.5000
Ir1 0.3950 0.7901 0.2500
Ir2 0.6050 0.2099 0.7500
Se1 0.8583 0.7166 0.9348
Se2 0.1417 0.2834 0.0652
Se3 0.8583 0.7166 0.5652
Se4 0.1417 0.2834 0.4348


(7)
## Ho2IrSe (PBE)

Data for a relaxed structure of Ho2IrSe.

Results
The value obtained for the total energy is -6.523 eV/atom. The symmetry is P4/mmm. The value obtained for the relative energy among the computed polymorphs is 160.3 meV/atom.

Cell: 3.4606 3.4606 7.2223 Å, 90.00 90.00 90.00°
Atoms (fractional coordinates):
Ir1 0.5000 0.5000 0.0000
Ho1 0.0000 0.0000 0.7686
Ho2 0.0000 0.0000 0.2314
Se1 0.5000 0.5000 0.5000


(8)
## Ho6TeIr2Se3 (PBE)

Data for a relaxed structure of Ho6TeIr2Se3.

Results
The value obtained for the total energy is -6.264 eV/atom. The symmetry is C2/m.

Cell: 4.1317 8.1863 9.4861 Å, 107.19 102.58 90.00°
Atoms (fractional coordinates):
Ho1 0.3214 0.8360 0.6428
Ho2 0.6622 0.6069 0.3243
Ho3 0.6786 0.1640 0.3572
Ho4 0.0252 0.2786 0.0504
Ho5 0.9748 0.7214 0.9496
Ho6 0.3378 0.3931 0.6757
Te1 0.5000 0.0000 0.0000
Ir1 0.8140 0.5976 0.6280
Ir2 0.1860 0.4024 0.3720
Se1 0.5000 0.5000 0.0000
Se2 0.8420 0.1307 0.6840
Se3 0.1580 0.8693 0.3160


What did we get for total magnetic moment? Answer: 0.00, 0.00, 0.00, 0.00, 0.00, 0.00, 0.00, 0.00 μB per cell, in the order shown.